Pr2GaNi4P3 PBE relaxed; crystal system = tetragonal; electronic total energy = -6.096 eV per atom; formation energy = -0.902 eV per atom
1.0
4.025 0.000 0.000
0.000 4.025 0.000
0.000 0.000 9.600
Pr Ga Ni P
2 1 4 3
Direct
0.500 0.000 0.244 Pr
0.000 0.500 0.756 Pr
0.500 0.500 0.500 Ga
0.500 0.500 0.000 Ni
0.000 0.000 0.000 Ni
0.500 0.000 0.630 Ni
0.000 0.500 0.370 Ni
0.000 0.000 0.500 P
0.500 0.000 0.872 P
0.000 0.500 0.128 P


Pu2GaNi3P4 PBE relaxed; crystal system = tetragonal; electronic total energy = -7.769 eV per atom; formation energy = -0.702 eV per atom
1.0
4.078 0.000 0.000
0.000 4.078 0.000
0.000 0.000 9.178
Pu Ga Ni P
2 1 3 4
Direct
0.500 0.000 0.235 Pu
0.000 0.500 0.765 Pu
0.500 0.500 0.500 Ga
0.000 0.000 0.500 Ni
0.500 0.000 0.891 Ni
0.000 0.500 0.109 Ni
0.500 0.500 0.000 P
0.000 0.000 0.000 P
0.500 0.000 0.647 P
0.000 0.500 0.353 P


GaReNiP2 PBE relaxed; crystal system = tetragonal; electronic total energy = -5.637 eV per atom; formation energy = 0.778 eV per atom
1.0
-0.886 -2.527 -3.665
-2.049 -3.087 2.623
-4.277 2.344 -0.583
Re P Ga Ni
1 2 1 1
Direct
0.000 0.000 0.000 Re
0.000 0.500 0.000 P
0.500 0.000 0.000 P
0.000 0.000 0.500 Ga
0.500 0.500 0.500 Ni


GaNiP2Ru PBE relaxed; crystal system = tetragonal; electronic total energy = -5.072 eV per atom; formation energy = 0.709 eV per atom
1.0
-2.511 -1.624 2.965
0.518 -4.065 -1.788
3.345 -0.661 2.471
Ru P Ga Ni
1 2 1 1
Direct
0.500 0.500 0.500 Ru
0.000 0.000 0.500 P
0.500 0.000 0.000 P
0.000 0.500 0.000 Ga
0.000 0.000 0.000 Ni


Sc2GaNiP PBE relaxed; crystal system = tetragonal; electronic total energy = -5.664 eV per atom; formation energy = -0.288 eV per atom
1.0
4.791 0.000 0.000
0.000 4.352 0.000
0.000 0.000 4.791
Sc Ni Ga P
2 1 1 1
Direct
0.000 0.000 0.500 Sc
0.500 0.000 0.000 Sc
0.000 0.000 0.000 Ni
0.000 0.500 0.000 Ga
0.500 0.500 0.500 P


Ga2SiNi7P2 PBE relaxed; crystal system = monoclinic; electronic total energy = -5.584 eV per atom; ΔE_f (raw) = -34.1 kJ per mole of atoms
1.0
-1.080 -2.290 2.381
1.242 -2.595 -1.950
11.680 -2.798 6.462
Ga Si Ni P
2 1 7 2
Direct
0.708 0.708 0.410 Ga
0.292 0.292 0.590 Ga
0.000 0.000 0.000 Si
0.500 0.500 0.000 Ni
0.200 0.200 0.408 Ni
0.800 0.800 0.592 Ni
0.898 0.397 0.137 Ni
0.397 0.898 0.137 Ni
0.603 0.102 0.863 Ni
0.102 0.603 0.863 Ni
0.682 0.682 0.758 P
0.318 0.318 0.242 P


SmGa2Ni2P PBE relaxed; crystal system = tetragonal; electronic total energy = -5.164 eV per atom; formation energy = -0.540 eV per atom
1.0
-3.328 -1.095 -2.468
1.221 -4.104 0.173
-3.100 -0.732 4.505
Sm Ga Ni P
1 2 2 1
Direct
0.000 0.000 0.500 Sm
0.500 0.500 0.732 Ga
0.500 0.500 0.268 Ga
0.500 0.000 0.000 Ni
0.000 0.500 0.000 Ni
0.000 0.000 0.000 P


SrGaNi4P2 PBE relaxed; crystal system = tetragonal; electronic total energy = -5.386 eV per atom; formation energy = -0.554 eV per atom
1.0
3.797 0.000 0.000
0.000 3.797 0.000
0.000 0.000 8.832
Sr Ga Ni P
1 1 4 2
Direct
0.000 0.000 0.500 Sr
0.000 0.000 0.000 Ga
0.000 0.500 0.174 Ni
0.500 0.000 0.826 Ni
0.500 0.000 0.174 Ni
0.000 0.500 0.826 Ni
0.500 0.500 0.300 P
0.500 0.500 0.700 P


TaGa2Ni7P2 PBE relaxed; crystal system = monoclinic; electronic total energy = -6.008 eV per atom; formation energy = -0.242 eV per atom
1.0
3.665 -0.001 0.101
0.004 3.665 0.101
2.122 2.119 11.762
Ta Ga Ni P
1 2 7 2
Direct
0.000 0.000 0.000 Ta
0.775 0.775 0.345 Ga
0.225 0.225 0.655 Ga
0.500 0.500 0.000 Ni
0.272 0.272 0.458 Ni
0.728 0.728 0.542 Ni
0.893 0.392 0.160 Ni
0.392 0.893 0.160 Ni
0.608 0.107 0.840 Ni
0.107 0.608 0.840 Ni
0.681 0.681 0.725 P
0.319 0.319 0.275 P


Tb2GaNi4P3 PBE relaxed; crystal system = tetragonal; electronic total energy = -6.109 eV per atom; formation energy = -0.945 eV per atom
1.0
-2.321 0.895 -2.999
1.229 -3.173 -1.898
-7.146 -5.157 3.994
Tb Ga Ni P
2 1 4 3
Direct
0.500 0.000 0.241 Tb
0.000 0.500 0.759 Tb
0.500 0.500 0.500 Ga
0.500 0.500 0.000 Ni
0.000 0.000 0.000 Ni
0.500 0.000 0.637 Ni
0.000 0.500 0.363 Ni
0.000 0.000 0.500 P
0.500 0.000 0.869 P
0.000 0.500 0.131 P


Th2GaNi12P3 PBE relaxed; crystal system = trigonal; electronic total energy = -5.921 eV per atom; formation energy = -0.172 eV per atom
1.0
7.174 -0.182 -0.129
3.384 6.328 -0.129
3.384 1.970 6.015
Th Ga Ni P
2 1 12 3
Direct
0.615 0.615 0.615 Th
0.385 0.385 0.385 Th
0.000 0.000 0.000 Ga
0.347 0.347 0.895 Ni
0.873 0.873 0.379 Ni
0.379 0.873 0.873 Ni
0.895 0.347 0.347 Ni
0.873 0.379 0.873 Ni
0.347 0.895 0.347 Ni
0.653 0.653 0.105 Ni
0.127 0.127 0.621 Ni
0.621 0.127 0.127 Ni
0.105 0.653 0.653 Ni
0.127 0.621 0.127 Ni
0.653 0.105 0.653 Ni
0.500 0.000 0.000 P
0.000 0.500 0.000 P
0.000 0.000 0.500 P


ThGaNi4P2 PBE relaxed; crystal system = tetragonal; electronic total energy = -6.219 eV per atom; formation energy = -0.670 eV per atom
1.0
-0.448 0.182 -3.962
-0.388 -3.970 -0.138
-7.289 0.682 0.855
Th Ga Ni P
1 1 4 2
Direct
0.000 0.000 0.500 Th
0.000 0.000 0.000 Ga
0.000 0.500 0.189 Ni
0.500 0.000 0.811 Ni
0.500 0.000 0.189 Ni
0.000 0.500 0.811 Ni
0.500 0.500 0.332 P
0.500 0.500 0.668 P


TiGa2Ni7P2 PBE relaxed; crystal system = monoclinic; electronic total energy = -5.777 eV per atom; formation energy = -0.341 eV per atom
1.0
3.507 -0.011 -0.119
-0.007 3.507 -0.119
1.250 1.249 13.190
Ti Ga Ni P
1 2 7 2
Direct
0.000 0.000 0.000 Ti
0.880 0.880 0.411 Ga
0.120 0.120 0.589 Ga
0.500 0.500 0.000 Ni
0.390 0.390 0.411 Ni
0.610 0.610 0.589 Ni
0.965 0.465 0.143 Ni
0.465 0.965 0.143 Ni
0.535 0.035 0.857 Ni
0.035 0.535 0.857 Ni
0.560 0.560 0.753 P
0.440 0.440 0.247 P


TiGa2NiP PBE relaxed; crystal system = tetragonal; electronic total energy = -4.322 eV per atom; formation energy = 0.706 eV per atom
1.0
-3.212 3.407 1.465
0.925 -1.008 4.372
3.574 3.361 0.019
Ni P Ga Ti
1 1 2 1
Direct
0.500 0.500 0.500 Ni
0.000 0.500 0.000 P
0.000 0.000 0.500 Ga
0.500 0.000 0.000 Ga
0.000 0.000 0.000 Ti


Tm3GaNi9P2 PBE relaxed; crystal system = trigonal; electronic total energy = -5.720 eV per atom; formation energy = -0.433 eV per atom
1.0
5.742 0.000 0.000
-2.871 4.973 0.000
0.000 0.000 8.335
Tm Ga Ni P
3 1 9 2
Direct
0.333 0.667 0.667 Tm
0.000 0.000 0.000 Tm
0.667 0.333 0.333 Tm
0.000 0.000 0.500 Ga
0.855 0.145 0.722 Ni
0.855 0.710 0.722 Ni
0.290 0.145 0.722 Ni
0.710 0.855 0.278 Ni
0.145 0.290 0.278 Ni
0.145 0.855 0.278 Ni
0.500 0.000 0.000 Ni
0.000 0.500 0.000 Ni
0.500 0.500 0.000 Ni
0.333 0.667 0.169 P
0.667 0.333 0.831 P


UGaNi4P2 PBE relaxed; crystal system = tetragonal; electronic total energy = -6.555 eV per atom; formation energy = -0.522 eV per atom
1.0
-1.077 -0.067 -3.625
-1.538 -3.416 0.520
-6.777 3.348 1.952
U Ga Ni P
1 1 4 2
Direct
0.000 0.000 0.500 U
0.000 0.000 0.000 Ga
0.000 0.500 0.190 Ni
0.500 0.000 0.810 Ni
0.500 0.000 0.190 Ni
0.000 0.500 0.810 Ni
0.500 0.500 0.348 P
0.500 0.500 0.652 P


GaNi2PW PBE relaxed; crystal system = tetragonal; electronic total energy = -5.118 eV per atom; formation energy = 1.473 eV per atom
1.0
-1.885 3.882 1.338
-2.441 0.277 -4.245
-3.436 -2.298 1.826
Ni Ga W P
2 1 1 1
Direct
0.000 0.000 0.500 Ni
0.500 0.000 0.000 Ni
0.000 0.500 0.000 Ga
0.000 0.000 0.000 W
0.500 0.500 0.500 P


YGaNiP2 PBE relaxed; crystal system = tetragonal; electronic total energy = -4.368 eV per atom; formation energy = 0.851 eV per atom
1.0
5.254 0.000 0.000
0.000 5.075 0.000
0.000 0.000 5.254
Y Ni Ga P
1 1 1 2
Direct
0.000 0.000 0.000 Y
0.000 0.500 0.000 Ni
0.500 0.500 0.500 Ga
0.000 0.000 0.500 P
0.500 0.000 0.000 P


ZnGaNi2P PBE relaxed; crystal system = tetragonal; electronic total energy = -3.491 eV per atom; formation energy = 0.764 eV per atom
1.0
4.402 0.000 0.000
0.000 4.553 0.000
0.000 0.000 4.402
Ni Zn Ga P
2 1 1 1
Direct
0.000 0.000 0.500 Ni
0.500 0.000 0.000 Ni
0.500 0.500 0.500 Zn
0.000 0.000 0.000 Ga
0.000 0.500 0.000 P


PaGa3Ni2 PBE relaxed; crystal system = hexagonal; electronic total energy = -5.446 eV per atom; E above lowest polymorph = 0 kJ/mol of formula units; formation energy = -0.423 eV per atom
1.0
4.103 0.000 0.000
0.000 7.776 -4.489
0.000 0.000 8.979
Pa Ga Ni
3 9 6
Direct
0.500 0.000 0.000 Pa
0.000 0.667 0.333 Pa
0.000 0.333 0.667 Pa
0.500 0.500 0.500 Ga
0.500 0.000 0.500 Ga
0.500 0.500 0.000 Ga
0.000 0.716 0.716 Ga
0.000 0.000 0.284 Ga
0.000 0.284 0.000 Ga
0.000 0.284 0.284 Ga
0.000 0.000 0.716 Ga
0.000 0.716 0.000 Ga
0.500 0.811 0.189 Ni
0.500 0.377 0.189 Ni
0.500 0.811 0.623 Ni
0.500 0.189 0.811 Ni
0.500 0.623 0.811 Ni
0.500 0.189 0.377 Ni